Below is an optimized crystal structure of CaMn4Cr, with properties calculated at the GGA-PBE level.

Values from the calculation:
The total energy comes out at -45.7 eV per cell. The symmetry is F-43m (216). As for the total magnetization: 3.74 μB per cell. As for the formation energy from the elements: 0.43 eV per atom.

Geometry as POSCAR:
```
CaMn4Cr
1.0
0.000 3.506 3.506
3.506 0.000 3.506
3.506 3.506 0.000
Ca Mn Cr
1 4 1
Direct
0.000 0.000 0.000 Ca
0.375 0.375 0.375 Mn
0.375 0.375 0.876 Mn
0.375 0.876 0.375 Mn
0.876 0.375 0.375 Mn
0.750 0.750 0.750 Cr
```